Material: ZnHgBr4
Method: DFT, PBE
State: optimized geometry

Unit cell a=4.0484 b=4.0484 c=12.3952 alpha=90.00 beta=90.00 gamma=90.00
Element x y z (fractional)
Zn (0.0000, 0.0000, 0.0000)
Hg (0.5000, 0.5000, 0.5000)
Br (0.0000, 0.5000, 0.1149)
Br (0.0000, 0.5000, 0.6410)
Br (0.5000, 0.0000, 0.3590)
Br (0.5000, 0.0000, 0.8851)

space group	P-4m2, No. 115

=====

Material: KHoO3
Method: DFT, PBE
State: optimized geometry

Unit cell a=3.8508 b=3.8508 c=5.2977 alpha=90.00 beta=90.00 gamma=90.00
Element x y z (fractional)
K (0.0000, 0.0000, 0.0000)
Ho (0.5000, 0.5000, 0.4588)
O (0.0000, 0.0000, 0.5813)
O (0.0000, 0.5000, 0.2676)
O (0.5000, 0.0000, 0.2676)

space group	P4mm, No. 99

=====

Material: Nb4SbC3
Method: DFT, PBE
State: optimized geometry

Unit cell a=3.2315 b=3.2315 c=24.1996 alpha=90.00 beta=90.00 gamma=120.00
Element x y z (fractional)
Nb (0.0000, 0.0000, 0.1550)
Nb (0.0000, 0.0000, 0.3450)
Nb (0.0000, 0.0000, 0.6550)
Nb (0.0000, 0.0000, 0.8450)
Nb (0.3333, 0.6667, 0.0549)
Nb (0.3333, 0.6667, 0.4451)
Nb (0.6667, 0.3333, 0.5549)
Nb (0.6667, 0.3333, 0.9451)
Sb (0.3333, 0.6667, 0.2500)
Sb (0.6667, 0.3333, 0.7500)
C (0.0000, 0.0000, 0.0000)
C (0.0000, 0.0000, 0.5000)
C (0.3333, 0.6667, 0.6079)
C (0.3333, 0.6667, 0.8921)
C (0.6667, 0.3333, 0.1079)
C (0.6667, 0.3333, 0.3921)

space group	P6_3/mmc, No. 194

=====

Material: Er2Br
Method: DFT, PBE
State: optimized geometry

Unit cell a=8.9157 b=8.9157 c=8.9157 alpha=60.00 beta=60.00 gamma=60.00
Element x y z (fractional)
Er (0.0000, 0.0000, 0.0000)
Er (0.0000, 0.0000, 0.5000)
Er (0.0000, 0.5000, 0.0000)
Er (0.5000, 0.0000, 0.0000)
Br (0.1250, 0.1250, 0.1250)
Br (0.8750, 0.8750, 0.8750)

space group	Fd-3m, No. 227
polymorph energy (0 for the lowest one)	1.2284	eV/atom

=====

Material: Y2ZnH2
Method: DFT, PBE
State: optimized geometry

Unit cell a=6.5466 b=6.5466 c=6.5466 alpha=147.57 beta=147.57 gamma=46.52
Element x y z (fractional)
Y (0.1460, 0.1460, 0.0000)
Y (0.8540, 0.8540, 0.0000)
Zn (0.5000, 0.5000, 0.0000)
H (0.2500, 0.7500, 0.5000)
H (0.7500, 0.2500, 0.5000)

space group	I4/mmm, No. 139

=====

Material: ZrPAuO
Method: DFT, PBE
State: optimized geometry

Unit cell a=4.0138 b=5.8303 c=7.1649 alpha=90.00 beta=90.00 gamma=90.00
Element x y z (fractional)
Zr (0.0000, 0.0598, 0.0000)
Zr (0.0000, 0.9402, 0.5000)
P (0.5000, 0.2833, 0.8643)
P (0.5000, 0.7167, 0.3643)
Au (0.5000, 0.3855, 0.5544)
Au (0.5000, 0.6145, 0.0544)
O (0.0000, 0.1425, 0.2712)
O (0.0000, 0.8575, 0.7712)

space group	Pmc2_1, No. 26
polymorph energy (0 for the lowest one)	0.1414	eV/atom

=====

The calculation returns the following final energy values, one per record and in order: -12.12, -27.33, -150.97, -13.17, -23.79, -53.69 eV per cell.